## Ho2LuTh (GGA-PBE)

Data for a geometry-optimized Ho2LuTh structure.

DOS at the Fermi energy ... 5.18 states/eV/f.u.
Space group ... P4/mmm (123)
ΔH_f (0 K) ... 0.03 eV/atom
Energy above the lowest structure with this stoichiometry ... 0.0018 eV per atom

Cell lengths 3.5250, 3.5250, 10.0182 Å; angles 90.00, 90.00, 90.00 degrees
Closest atoms and distances in Å follow each position.
Fractional coordinates of all 4 atoms:
Ho 0.0000 0.0000 0.2476  4 Th 3.52, 4 Ho 3.52, 4 Lu 3.55
Ho 0.0000 0.0000 0.7524  4 Th 3.52, 4 Ho 3.52, 4 Lu 3.55
Lu 0.5000 0.5000 0.5000  4 Lu 3.52, 8 Ho 3.55
Th 0.5000 0.5000 0.0000  8 Ho 3.52, 4 Th 3.52